CaYMg2 (GGA-PBE, optimized geometry); SG = Immm; ΔH_f (0 K) = 0.432 eV per atom
1.0
-3.9640 -0.6116 -6.1728
2.5028 -4.9907 4.7979
-4.8016 5.0138 -2.4489
Y Mg Ca
1 2 1
Direct
0.5000 0.0000 0.5000
0.2519 0.0000 0.2519
0.7481 0.0000 0.7481
0.0000 0.0000 0.0000

***

CaY5Mg6 (GGA-PBE, optimized geometry); SG = Immm; ΔH_f (0 K) = -0.096 eV per atom
1.0
-3.2507 3.3334 -2.7855
-6.0574 -4.1532 2.0999
3.7590 5.0524 6.9431
Ca Y Mg
1 5 6
Direct
0.0000 0.0000 0.0000
0.0000 0.5000 0.0000
0.3320 0.3320 0.6640
0.6680 0.6680 0.3360
0.6671 0.1671 0.3342
0.3329 0.8329 0.6658
0.8323 0.5795 0.6647
0.1677 0.9148 0.3353
0.5000 0.7428 0.0000
0.1677 0.4205 0.3353
0.8323 0.0852 0.6647
0.5000 0.2572 0.0000

***

Ca2YMg (GGA-PBE, optimized geometry); SG = Cmmm; ΔH_f (0 K) = 0.085 eV per atom
1.0
6.3125 0.0074 0.0000
-2.1700 5.9278 0.0000
0.0000 0.0000 3.6388
Mg Ca Y
1 2 1
Direct
0.5000 0.0000 0.5000
0.5000 0.5000 0.0000
0.0000 0.0000 0.0000
0.0000 0.5000 0.5000

***

CaYMg2 (GGA-PBE, optimized geometry); SG = Pmm2; ΔH_f (0 K) = -0.091 eV per atom
1.0
-3.2074 3.4815 2.8116
-1.8619 -2.9728 1.5570
3.5913 -0.0629 4.1748
Mg Ca Y
2 1 1
Direct
0.5000 0.1250 0.3745
0.0000 0.1250 0.8752
0.5000 0.6249 0.8749
0.0000 0.6251 0.3755